No. 1
Tb3Tm2Tc2: optimized geometry, GGA-PBE.

abc: 3.775 6.450 8.429
angles: 105.10 102.95 106.99
Fractional coordinates of all 7 atoms:
Tc 0.968 0.150 0.786
Tb 0.500 0.000 0.000
Tb 0.189 0.813 0.564
Tb 0.811 0.187 0.436
Tm 0.340 0.503 0.177
Tm 0.660 0.497 0.823
Tc 0.032 0.850 0.214

As for the crystal system: monoclinic. Its density of states at the Fermi level is 0.73 states/eV per atom. The formation energy comes out at -0.07 eV/atom.



No. 2
BaScTaI2: optimized geometry, GGA-PBE.

abc: 6.421 6.669 6.421
angles: 90.00 90.00 90.00
Last column: magnetic moment on the atom in μB.
Fractional coordinates of all 5 atoms:
I 0.000 0.000 0.500  0.03
Ba 0.000 0.000 0.000  0.11
I 0.500 0.000 0.000  0.04
Ta 0.000 0.500 0.000  2.32
Sc 0.500 0.500 0.500  1.15

Its uncorrected formation energy is 1.183 eV/atom. As for the crystal system: tetragonal. Its density of states at the Fermi level is 2.94 states/eV per atom.



No. 3
MgFe2Cl: optimized geometry, GGA-PBE.

abc: 7.276 7.276 5.726
angles: 50.56 50.56 90.00
Last column: magnetic moment on the atom in μB.
Fractional coordinates of all 8 atoms:
Mg 0.250 0.750 0.500  -0.03
Fe 0.677 0.125 0.250  2.87
Cl 0.750 0.250 0.500  0.10
Fe 0.375 0.323 0.750  2.91
Fe 0.875 0.927 0.750  2.87
Mg 0.500 0.500 0.000  -0.03
Fe 0.073 0.625 0.250  2.84
Cl 0.000 0.000 0.000  0.10

Its uncorrected formation energy is 0.484 eV/atom. As for the crystal system: tetragonal. Its density of states at the Fermi level is 1.26 states/eV per atom.